Entry 1:
Density functional theory data (PBE) for a geometry-optimized Tb2YTm structure.

Computed properties:
Volume: 513 Å³/cell
Raw total energy: -4.9151 eV per atom
DOS at the Fermi energy: 2.41 states/eV/atom

Unit cell a=8.005 b=8.005 c=8.005 alpha=90.00 beta=90.00 gamma=90.00
Space group Fm-3m (No. 225)
Asymmetric unit:
Tb 0.250 0.250 0.250
Y 0.000 0.000 0.000
Tm 0.000 0.000 0.500

Entry 2:
Density functional theory data (PBE) for a geometry-optimized Tb3Y2Tm5 structure.

Computed properties:
Volume: 1335 Å³/cell
Raw total energy: -4.5618 eV per atom
DOS at the Fermi energy: 1.58 states/eV/atom

Unit cell a=12.705 b=16.953 c=6.198 alpha=90.00 beta=90.00 gamma=90.00
Space group Ibam (No. 72)
Asymmetric unit:
Tb 0.000 0.000 0.250
Tb 0.160 0.251 0.000
Y 0.100 0.157 0.500
Tm 0.000 0.500 0.250
Tm 0.099 0.345 0.500
Tm 0.248 0.500 0.250

Entry 3:
Density functional theory data (PBE) for a geometry-optimized Tb4Y2Tm7 structure.

Computed properties:
Volume: 406 Å³/cell
Raw total energy: -4.7374 eV per atom
DOS at the Fermi energy: 1.70 states/eV/atom

Unit cell a=6.472 b=6.713 c=9.694 alpha=86.85 beta=75.95 gamma=83.64
Space group P-1 (No. 2)
Asymmetric unit:
Tb 0.121 0.331 0.244
Tb 0.379 0.532 0.881
Y 0.208 0.820 0.352
Tm 0.039 0.208 0.911
Tm 0.287 0.389 0.571
Tm 0.353 0.910 0.661
Tm 0.500 0.000 0.000

Entry 4:
Density functional theory data (PBE) for a geometry-optimized Tb2YTm6 structure.

Computed properties:
Volume: 340 Å³/cell
Raw total energy: -4.5603 eV per atom
DOS at the Fermi energy: 1.78 states/eV/atom

Unit cell a=3.5600 b=3.5600 c=30.9348 alpha=90.00 beta=90.00 gamma=120.00
Space group P-6m2 (No. 187)
Asymmetric unit:
Tb 0.0000 0.0000 0.2283
Y 0.6667 0.3333 0.5000
Tm 0.0000 0.0000 0.4090
Tm 0.6667 0.3333 0.1390
Tm 0.6667 0.3333 0.3201

Entry 5:
Density functional theory data (PBE) for a geometry-optimized Tb6Y4Tm structure.

Computed properties:
Volume: 1414 Å³/cell
Raw total energy: -5.1524 eV per atom
DOS at the Fermi energy: 1.85 states/eV/atom

Unit cell a=5.718 b=9.653 c=25.613 alpha=90.00 beta=90.00 gamma=90.00
Space group Cmcm (No. 63)
Asymmetric unit:
Tb 0.000 0.000 0.000
Tb 0.000 0.027 0.250
Tb 0.000 0.307 0.605
Tb 0.000 0.361 0.183
Y 0.000 0.031 0.122
Y 0.000 0.345 0.043
Tm 0.000 0.308 0.750

Entry 6:
Density functional theory data (PBE) for a geometry-optimized Tb15YTm4 structure.

Computed properties:
Volume: 631 Å³/cell
Raw total energy: -4.6721 eV per atom
DOS at the Fermi energy: 1.33 states/eV/atom

Unit cell a=5.018 b=5.018 c=25.067 alpha=90.00 beta=90.00 gamma=90.00
Space group P4/mmm (No. 123)
Asymmetric unit:
Tb 0.000 0.000 0.000
Tb 0.000 0.000 0.201
Tb 0.000 0.000 0.400
Tb 0.000 0.500 0.101
Tb 0.000 0.500 0.300
Tb 0.000 0.500 0.500
Y 0.500 0.500 0.000
Tm 0.500 0.500 0.201
Tm 0.500 0.500 0.400

Entry 7:
Density functional theory data (PBE) for a geometry-optimized Tb2Y15Tm2 structure.

Computed properties:
Volume: 1920 Å³/cell
Raw total energy: -5.7510 eV per atom
DOS at the Fermi energy: 1.83 states/eV/atom

Unit cell a=11.1445 b=11.1445 c=17.8481 alpha=90.00 beta=90.00 gamma=120.00
Space group R-3m (No. 166, hexagonal axes)
Asymmetric unit:
Tb 0.0000 0.0000 0.0951
Y 0.0000 0.3004 0.0000
Y 0.0000 0.5000 0.5000
Y 0.0155 0.5078 0.1345
Tm 0.0000 0.0000 0.3183

Entry 8:
Density functional theory data (PBE) for a geometry-optimized Tb5Y2Tm12 structure.

Computed properties:
Volume: 584 Å³/cell
Raw total energy: -4.6981 eV per atom
DOS at the Fermi energy: 1.40 states/eV/atom

Unit cell a=6.091 b=9.310 c=10.541 alpha=100.98 beta=95.57 gamma=90.07
Space group P-1 (No. 2)
Asymmetric unit:
Tb 0.000 0.000 0.000
Tb 0.158 0.632 0.948
Tb 0.261 0.053 0.579
Y 0.420 0.684 0.526
Tm 0.053 0.211 0.315
Tm 0.104 0.422 0.632
Tm 0.211 0.843 0.263
Tm 0.315 0.263 0.895
Tm 0.369 0.474 0.209
Tm 0.474 0.895 0.843

Entry 9:
Density functional theory data (PBE) for a geometry-optimized Tb3Y5Tm3 structure.

Computed properties:
Volume: 365 Å³/cell
Raw total energy: -5.0606 eV per atom
DOS at the Fermi energy: 1.54 states/eV/atom

Unit cell a=11.0745 b=11.0745 c=3.4346 alpha=90.00 beta=90.00 gamma=120.00
Space group P-62m (No. 189)
Asymmetric unit:
Tb 0.0000 0.6581 0.0000
Y 0.0000 0.1616 0.0000
Y 0.3333 0.6667 0.0000
Tm 0.0000 0.4080 0.5000

Entry 10:
Density functional theory data (PBE) for a geometry-optimized Tb8Y3Tm3 structure.

Computed properties:
Volume: 896 Å³/cell
Raw total energy: -4.8850 eV per atom
DOS at the Fermi energy: 1.48 states/eV/atom

Unit cell a=5.595 b=10.765 c=14.877 alpha=90.00 beta=90.00 gamma=90.00
Space group Immm (No. 71)
Asymmetric unit:
Tb 0.000 0.159 0.222
Tb 0.000 0.340 0.397
Y 0.000 0.000 0.500
Y 0.000 0.500 0.180
Tm 0.000 0.000 0.000
Tm 0.000 0.296 0.000

Entry 11:
Density functional theory data (PBE) for a geometry-optimized Tb2YTm9 structure.

Computed properties:
Volume: 366 Å³/cell
Raw total energy: -4.6372 eV per atom
DOS at the Fermi energy: 1.43 states/eV/atom

Unit cell a=4.961 b=4.961 c=14.874 alpha=90.00 beta=90.00 gamma=90.00
Space group P4/mmm (No. 123)
Asymmetric unit:
Tb 0.000 0.000 0.166
Y 0.000 0.000 0.500
Tm 0.000 0.500 0.000
Tm 0.000 0.500 0.333
Tm 0.500 0.500 0.166
Tm 0.500 0.500 0.500

Entry 12:
Density functional theory data (PBE) for a geometry-optimized Tb3Y4Tm3 structure.

Computed properties:
Volume: 638 Å³/cell
Raw total energy: -5.2025 eV per atom
DOS at the Fermi energy: 0.86 states/eV/atom

Unit cell a=3.688 b=13.143 c=13.161 alpha=90.00 beta=90.00 gamma=90.00
Space group Amm2 (No. 38)
Asymmetric unit:
Tb 0.000 0.000 0.000
Tb 0.000 0.172 0.671
Y 0.500 0.000 0.544
Y 0.500 0.000 0.799
Y 0.500 0.127 0.173
Tm 0.000 0.000 0.344
Tm 0.500 0.248 0.421

Entry 13:
Density functional theory data (PBE) for a geometry-optimized TbY2Tm structure.

Computed properties:
Volume: 379 Å³/cell
Raw total energy: -5.4815 eV per atom
DOS at the Fermi energy: 1.57 states/eV/atom

Unit cell a=3.5505 b=3.5505 c=34.6962 alpha=90.00 beta=90.00 gamma=120.00
Space group R-3m (No. 166, hexagonal axes)
Asymmetric unit:
Tb 0.0000 0.0000 0.0000
Y 0.0000 0.0000 0.2494
Tm 0.0000 0.0000 0.5000

Entry 14:
Density functional theory data (PBE) for a geometry-optimized Tb6Y3Tm structure.

Computed properties:
Volume: 1299 Å³/cell
Raw total energy: -5.0236 eV per atom
DOS at the Fermi energy: 1.47 states/eV/atom

Unit cell a=11.045 b=19.070 c=6.168 alpha=90.00 beta=90.00 gamma=90.00
Space group Cmc2_1 (No. 36)
Asymmetric unit:
Tb 0.000 0.047 0.000
Tb 0.000 0.281 0.713
Tb 0.165 0.454 0.607
Tb 0.244 0.289 0.433
Y 0.000 0.389 0.142
Y 0.168 0.109 0.533
Tm 0.000 0.206 0.210

Entry 15:
Density functional theory data (PBE) for a geometry-optimized TbY2Tm3 structure.

Computed properties:
Volume: 813 Å³/cell
Raw total energy: -4.8033 eV per atom
DOS at the Fermi energy: 1.64 states/eV/atom

Unit cell a=14.709 b=9.973 c=5.544 alpha=90.00 beta=90.00 gamma=90.00
Space group Cmcm (No. 63)
Asymmetric unit:
Tb 0.000 0.234 0.250
Y 0.110 0.100 0.750
Tm 0.000 0.411 0.750
Tm 0.239 0.372 0.750

Entry 16:
Density functional theory data (PBE) for a geometry-optimized Tb3Y4Tm4 structure.

Computed properties:
Volume: 691 Å³/cell
Raw total energy: -5.1742 eV per atom
DOS at the Fermi energy: 1.83 states/eV/atom

Unit cell a=35.945 b=3.475 c=5.596 alpha=90.00 beta=98.93 gamma=90.00
Space group C2/m (No. 12)
Asymmetric unit:
Tb 0.000 0.000 0.000
Tb 0.136 0.000 0.636
Y 0.090 0.500 0.090
Y 0.233 0.500 0.733
Tm 0.045 0.500 0.545
Tm 0.181 0.500 0.181

Entry 17:
Density functional theory data (PBE) for a geometry-optimized Tb2Y5Tm structure.

Computed properties:
Volume: 509 Å³/cell
Raw total energy: -5.7349 eV per atom
DOS at the Fermi energy: 1.27 states/eV/atom

Unit cell a=7.119 b=14.240 c=5.022 alpha=90.00 beta=90.00 gamma=90.00
Space group Pbam (No. 55)
Asymmetric unit:
Tb 0.249 0.124 0.000
Y 0.000 0.249 0.500
Y 0.000 0.500 0.500
Y 0.250 0.375 0.000
Tm 0.000 0.000 0.500

Entry 18:
Density functional theory data (PBE) for a geometry-optimized Tb6YTm3 structure.

Computed properties:
Volume: 1281 Å³/cell
Raw total energy: -4.6106 eV per atom
DOS at the Fermi energy: 1.45 states/eV/atom

Unit cell a=10.941 b=18.954 c=6.176 alpha=90.00 beta=90.00 gamma=90.00
Space group Cmc2_1 (No. 36)
Asymmetric unit:
Tb 0.000 0.043 0.000
Tb 0.000 0.279 0.733
Tb 0.166 0.454 0.626
Tb 0.239 0.289 0.441
Y 0.000 0.201 0.219
Tm 0.000 0.389 0.160
Tm 0.168 0.110 0.552